Record 1
VASP calculation (PBE) on CsHoGeCl6 after structural relaxation.

Lattice parameters (Å, degrees): 7.0194 7.0194 7.7157 90.00 90.00 120.00
Atoms (fractional coordinates):
Cs 0.0000 0.0000 0.0000
Ho 0.6667 0.3333 0.5000
Ge 0.3333 0.6667 0.5000
Cl 0.3821 0.0054 0.6969
Cl 0.3821 0.3767 0.3031
Cl 0.6233 0.0054 0.3031
Cl 0.6233 0.6179 0.6969
Cl 0.9946 0.3767 0.6969
Cl 0.9946 0.6179 0.3031

Values from the calculation:
Uncorrected formation energy: -1.771 eV per atom



Record 2
VASP calculation (PBE) on Li2SnPd2O6 after structural relaxation.

Lattice parameters (Å, degrees): 5.4337 5.4337 5.4030 101.60 101.60 117.37
Atoms (fractional coordinates):
Li 0.1998 0.8002 0.0000
Li 0.8002 0.1998 0.0000
Sn 0.0000 0.0000 0.5000
Pd 0.3367 0.6633 0.5000
Pd 0.6633 0.3367 0.5000
O 0.0441 0.3934 0.7302
O 0.2475 0.2475 0.2880
O 0.3934 0.0441 0.7302
O 0.6066 0.9559 0.2698
O 0.7525 0.7525 0.7120
O 0.9559 0.6066 0.2698

Values from the calculation:
Uncorrected formation energy: -1.099 eV per atom



Record 3
VASP calculation (PBE) on BaRe2Sn after structural relaxation.

Lattice parameters (Å, degrees): 6.4890 6.4890 6.4890 101.82 101.82 126.19
Atoms (fractional coordinates):
Ba 0.0000 0.0000 0.0000
Ba 0.7500 0.2500 0.5000
Re 0.1823 0.6250 0.0573
Re 0.3750 0.4323 0.5573
Re 0.5677 0.1250 0.9427
Re 0.8750 0.8177 0.4427
Sn 0.2500 0.7500 0.5000
Sn 0.5000 0.5000 0.0000

Values from the calculation:
Formation energy from the elements: 1.6060 eV per atom



Record 4
VASP calculation (PBE) on ZrOs2Ru after structural relaxation.

Lattice parameters (Å, degrees): 4.5438 4.5438 3.1035 90.00 90.00 90.00
Atoms (fractional coordinates):
Zr 0.0000 0.0000 0.0000
Os 0.0000 0.5000 0.5000
Os 0.5000 0.0000 0.5000
Ru 0.5000 0.5000 0.0000

Values from the calculation:
Formation energy from the elements: 0.1591 eV per atom
Relative energy among the computed polymorphs: 216 meV per atom